1.
{
  "formula": "In2Tc2P",
  "functional": "SCAN",
  "state": "single point on PBEsol structure",
  "total_magnetization_mub_per_fu": 2.5,
  "lattice": [[3.669, 0.000, 0.000], [0.000, 3.669, 0.000], [0.000, 0.000, 13.420]],
  "species": ["In", "In", "In", "In", "Tc", "Tc", "Tc", "Tc", "P", "P"],
  "fractional_positions": [[0.000, 0.500, 0.250], [0.000, 0.500, 0.750], [0.500, 0.000, 0.250], [0.500, 0.000, 0.750], [0.000, 0.000, 0.088], [0.000, 0.000, 0.912], [0.500, 0.500, 0.412], [0.500, 0.500, 0.588], [0.000, 0.000, 0.500], [0.500, 0.500, 0.000]]
}


2.
{
  "formula": "MgAlTl2",
  "functional": "SCAN",
  "state": "single point on PBEsol structure",
  "total_magnetization_mub_per_fu": 0.0,
  "polymorph_energy_mev_per_atom": 0,
  "lattice": [[4.384, 0.000, 0.000], [0.000, 4.384, 0.000], [0.000, 0.000, 9.727]],
  "species": ["Mg", "Mg", "Al", "Al", "Tl", "Tl", "Tl", "Tl"],
  "fractional_positions": [[0.000, 0.000, 0.000], [0.500, 0.500, 0.500], [0.000, 0.500, 0.750], [0.500, 0.000, 0.250], [0.000, 0.000, 0.500], [0.000, 0.500, 0.250], [0.500, 0.000, 0.750], [0.500, 0.500, 0.000]]
}


DFT total energy list, top to bottom, in eV/atom: -28.6781 -39.2515
Energy relative to the elements list, top to bottom, in eV per atom: 0.7802 0.1090
Theoretical density list, top to bottom, in g/cm³: 8.39 8.17